An optimized crystal structure of U2CuRu, computed with GGA-PBE.

Summary:
magnetic moment: 3.08 Bohr magnetons per cell
raw total energy: -34.27 eV per cell

a = 2.8995 Å, b = 2.8995 Å, c = 10.5394 Å
α = 82.09°, β = 82.09°, γ = 60.00°
Closest atoms and distances in Å follow each position.
Fractional coordinates of all 4 atoms:
Ru1 0.5000 0.5000 0.5000  6 U 2.89, 6 Ru 2.90
U1 0.0913 0.0913 0.7260  1 Cu 2.85, 3 Ru 2.89, 6 U 2.90
U2 0.9087 0.9087 0.2740  1 Cu 2.85, 3 Ru 2.89, 6 U 2.90
Cu1 0.0000 0.0000 0.0000  2 U 2.85, 6 Cu 2.90


An optimized crystal structure of UCu4Ru, computed with GGA-PBE.

Summary:
magnetic moment: 1.06 Bohr magnetons per cell
raw total energy: -36.56 eV per cell

a = 4.9436 Å, b = 4.9436 Å, c = 4.9436 Å
α = 60.00°, β = 60.00°, γ = 60.00°
Closest atoms and distances in Å follow each position.
Fractional coordinates of all 6 atoms:
Ru1 0.0000 0.0000 0.0000  12 Cu 2.90, 4 U 3.03
U1 0.2500 0.2500 0.2500  12 Cu 2.90, 4 Ru 3.03
Cu1 0.6257 0.6257 0.1228  6 Cu 2.46-2.49
Cu2 0.6257 0.1228 0.6257  6 Cu 2.46-2.49
Cu3 0.6257 0.6257 0.6257  6 Cu 2.46-2.49
Cu4 0.1228 0.6257 0.6257  6 Cu 2.46-2.49


An optimized crystal structure of UZnCuRu, computed with GGA-PBE.

Summary:
magnetic moment: 1.53 Bohr magnetons per cell
raw total energy: -25.57 eV per cell

a = 4.5725 Å, b = 4.5725 Å, c = 4.5725 Å
α = 60.00°, β = 60.00°, γ = 60.00°
Closest atoms and distances in Å follow each position.
Fractional coordinates of all 4 atoms:
Ru1 0.7500 0.7500 0.7500  4 U 2.80, 4 Zn 2.80
Zn1 0.0000 0.0000 0.0000  4 Cu 2.80, 4 Ru 2.80
U1 0.5000 0.5000 0.5000  4 Ru 2.80, 4 Cu 2.80
Cu1 0.2500 0.2500 0.2500  4 U 2.80, 4 Zn 2.80


An optimized crystal structure of VCu3Ru, computed with GGA-PBE.

Summary:
ΔE to the lowest computed polymorph: 0 kJ/mol of formula units
magnetic moment: 1.85 Bohr magnetons per cell
raw total energy: -23.69 eV per cell

a = 4.5666 Å, b = 4.5666 Å, c = 4.5666 Å
α = 90.00°, β = 90.00°, γ = 90.00°
Closest atoms and distances in Å follow each position.
Fractional coordinates of all 5 atoms:
Ru1 0.0000 0.0000 0.0000  6 Cu 2.28
Cu1 0.0000 0.5000 0.0000  2 Ru 2.28
Cu2 0.0000 0.0000 0.5000  2 Ru 2.28
Cu3 0.5000 0.0000 0.0000  2 Ru 2.28
V1 0.5000 0.5000 0.5000  12 Cu 3.23


An optimized crystal structure of VCuRu, computed with GGA-PBE.

Summary:
ΔE to the lowest computed polymorph: 21 kJ/mol of formula units
magnetic moment: 0.00 Bohr magnetons per cell
raw total energy: -44.57 eV per cell

a = 2.9085 Å, b = 4.4555 Å, c = 6.8303 Å
α = 100.42°, β = 90.00°, γ = 109.05°
Closest atoms and distances in Å follow each position.
Fractional coordinates of all 6 atoms:
V1 0.1067 0.2134 0.7511  4 Ru 2.46-2.57, 4 Cu 2.61-2.62
V2 0.8933 0.7866 0.2489  4 Ru 2.46-2.57, 4 Cu 2.61-2.62
Cu1 0.3689 0.7378 0.5611  3 Cu 2.49-2.51, 5 V 2.61-2.77, 2 Ru 2.67
Cu2 0.6311 0.2622 0.4389  3 Cu 2.49-2.51, 5 V 2.61-2.77, 2 Ru 2.67
Ru1 0.1609 0.3217 0.1205  4 V 2.46-2.57, 2 Cu 2.67
Ru2 0.8391 0.6783 0.8795  4 V 2.46-2.57, 2 Cu 2.67


An optimized crystal structure of V4CuRu5, computed with GGA-PBE.

Summary:
magnetic moment: 0.00 Bohr magnetons per cell
raw total energy: -89.09 eV per cell

a = 3.0267 Å, b = 3.0267 Å, c = 14.8161 Å
α = 90.00°, β = 90.00°, γ = 90.00°
Closest atoms and distances in Å follow each position.
Fractional coordinates of all 10 atoms:
V1 0.0000 0.0000 0.1885  8 Ru 2.48-2.69
V2 0.0000 0.0000 0.3966  8 Ru 2.58-2.63
V3 0.0000 0.0000 0.6034  8 Ru 2.58-2.63
V4 0.0000 0.0000 0.8115  8 Ru 2.48-2.69
Cu1 0.0000 0.0000 0.0000  8 Ru 2.63, 2 V 2.79
Ru1 0.5000 0.5000 0.1035  4 V 2.48, 4 Cu 2.63
Ru2 0.5000 0.5000 0.2988  8 V 2.58-2.69, 1 Ru 2.89
Ru3 0.5000 0.5000 0.5000  8 V 2.63
Ru4 0.5000 0.5000 0.7012  8 V 2.58-2.69, 1 Ru 2.89
Ru5 0.5000 0.5000 0.8965  4 V 2.48, 4 Cu 2.63


An optimized crystal structure of V3CuRu, computed with GGA-PBE.

Summary:
ΔE to the lowest computed polymorph: 0 kJ/mol of formula units
magnetic moment: 0.00 Bohr magnetons per cell
raw total energy: -34.91 eV per cell

a = 4.5053 Å, b = 4.5053 Å, c = 4.5053 Å
α = 90.00°, β = 90.00°, γ = 90.00°
Closest atoms and distances in Å follow each position.
Fractional coordinates of all 5 atoms:
Ru1 0.0000 0.0000 0.0000  6 V 2.25
Cu1 0.5000 0.5000 0.5000  12 V 3.19
V1 0.0000 0.5000 0.0000  2 Ru 2.25
V2 0.0000 0.0000 0.5000  2 Ru 2.25
V3 0.5000 0.0000 0.0000  2 Ru 2.25


An optimized crystal structure of VCuRu2, computed with GGA-PBE.

Summary:
magnetic moment: 1.36 Bohr magnetons per cell
raw total energy: -59.21 eV per cell

a = 3.7263 Å, b = 3.7263 Å, c = 8.9457 Å
α = 77.98°, β = 77.98°, γ = 90.00°
Closest atoms and distances in Å follow each position.
Fractional coordinates of all 8 atoms:
Ru1 0.6574 0.1250 0.2500  2 Cu 2.47, 2 Ru 2.47, 2 V 2.56
Ru2 0.0926 0.6250 0.2500  2 Cu 2.47, 2 Ru 2.47, 2 V 2.56
Ru3 0.3750 0.3426 0.7500  2 Cu 2.47, 2 Ru 2.47, 2 V 2.56
Ru4 0.8750 0.9074 0.7500  2 Cu 2.47, 2 Ru 2.47, 2 V 2.56
Cu1 0.0000 0.0000 0.0000  4 Ru 2.47, 4 V 2.63
Cu2 0.7500 0.2500 0.5000  4 Ru 2.47, 4 V 2.63
V1 0.5000 0.5000 0.0000  4 Ru 2.56, 4 Cu 2.63
V2 0.2500 0.7500 0.5000  4 Ru 2.56, 4 Cu 2.63


An optimized crystal structure of V3CuRu, computed with GGA-PBE.

Summary:
ΔE to the lowest computed polymorph: 78 kJ/mol of formula units
magnetic moment: 2.84 Bohr magnetons per cell
raw total energy: -34.11 eV per cell

a = 4.3337 Å, b = 4.3337 Å, c = 4.3337 Å
α = 90.00°, β = 90.00°, γ = 90.00°
Closest atoms and distances in Å follow each position.
Fractional coordinates of all 5 atoms:
Ru1 0.5000 0.5000 0.5000  12 V 3.06
Cu1 0.0000 0.0000 0.0000  6 V 2.17
V1 0.0000 0.5000 0.0000  2 Cu 2.17
V2 0.0000 0.0000 0.5000  2 Cu 2.17
V3 0.5000 0.0000 0.0000  2 Cu 2.17


An optimized crystal structure of VCuRu, computed with GGA-PBE.

Summary:
ΔE to the lowest computed polymorph: 195 kJ/mol of formula units
magnetic moment: 0.16 Bohr magnetons per cell
raw total energy: -20.49 eV per cell

a = 2.5363 Å, b = 2.5363 Å, c = 7.0807 Å
α = 100.32°, β = 100.32°, γ = 90.00°
Closest atoms and distances in Å follow each position.
Fractional coordinates of all 3 atoms:
Ru1 0.7762 0.7762 0.5524  1 V 2.32, 4 Ru 2.54
Cu1 0.1281 0.1281 0.2561  1 V 2.50, 4 Cu 2.54, 4 Ru 2.71
V1 0.9457 0.9457 0.8914  1 Ru 2.32, 1 Cu 2.50, 4 V 2.54


An optimized crystal structure of VCuRu2, computed with GGA-PBE.

Summary:
magnetic moment: 0.00 Bohr magnetons per cell
raw total energy: -31.88 eV per cell

a = 3.0520 Å, b = 3.0520 Å, c = 5.7223 Å
α = 90.00°, β = 90.00°, γ = 90.00°
Closest atoms and distances in Å follow each position.
Fractional coordinates of all 4 atoms:
Ru1 0.0000 0.0000 0.7500  4 V 2.59, 4 Cu 2.59, 2 Ru 2.86
Ru2 0.0000 0.0000 0.2500  4 V 2.59, 4 Cu 2.59, 2 Ru 2.86
Cu1 0.5000 0.5000 0.5000  8 Ru 2.59, 2 V 2.86
V1 0.5000 0.5000 0.0000  8 Ru 2.59, 2 Cu 2.86


An optimized crystal structure of VCuRu, computed with GGA-PBE.

Summary:
ΔE to the lowest computed polymorph: 0 kJ/mol of formula units
magnetic moment: 0.00 Bohr magnetons per cell
raw total energy: -22.51 eV per cell

a = 2.6119 Å, b = 4.1889 Å, c = 4.1889 Å
α = 120.00°, β = 90.00°, γ = 90.00°
Closest atoms and distances in Å follow each position.
Fractional coordinates of all 3 atoms:
Ru1 0.7179 0.3333 0.6667  3 V 2.51, 2 Ru 2.61, 3 Cu 2.65
Cu1 0.3038 0.6667 0.3333  3 V 2.56, 2 Cu 2.61, 6 Ru 2.65-2.86
V1 0.9783 0.0000 0.0000  3 Ru 2.51, 3 Cu 2.56, 2 V 2.61